First-principles (GGA-PBE) data for a relaxed Sc2Ag2TeO6 crystal, as listed in Alexandria.

Unit cell a=5.638 b=5.638 c=6.708 alpha=103.84 beta=103.84 gamma=119.21
Fractional coordinates of all 11 atoms:
O: 0.233 0.233 0.316
O: 0.561 0.903 0.324
O: 0.903 0.561 0.324
O: 0.439 0.097 0.676
O: 0.767 0.767 0.684
O: 0.097 0.439 0.676
Te: 0.000 0.000 0.500
Ag: 0.191 0.809 0.000
Ag: 0.809 0.191 0.000
Sc: 0.334 0.666 0.500
Sc: 0.666 0.334 0.500

Properties
Calculated total energy   -6.4237 eV/atom
Formation energy (no corrections)   -1.76 eV per atom
Total magnetic moment   0.000 μB/atom
Space-group type   No. 12